4
Lattice="-1.3800 1.9466 4.0741 1.3800 -1.9466 4.0741 1.3800 1.9466 -4.0741" Properties=species:S:1:pos:R:3 comment="BeCo2Rh | Alexandria via LeMat-Bulk | GGA-PBE | relaxed" formation_energy_mev_per_atom=-173 final_energy_ry_per_atom=-0.4774 space_group="Immm (71)" pbc="T T T"
Be 0.0000 0.0000 0.0000
Co 1.3800 0.0000 1.8947
Co 0.0000 1.9466 2.1794
Rh 0.0000 0.0000 4.0741